1.
# NdEr2Mg3In2Hg, relaxed, DFT PBE-GGA
# - Magnetic moment: 0.0 μB/cell
# - E_tot: -3.1120 eV per atom
data_NdEr2Mg3In2Hg
_chemical_formula_sum 'Nd2 Er4 Mg6 In4 Hg2'
_space_group_name_H-M_alt 'A m m 2'
_space_group_IT_number 38
_space_group_name_Hall 'A 2 -2'
_cell_length_a 4.644
_cell_length_b 13.186
_cell_length_c 7.460
_cell_angle_alpha 90.00
_cell_angle_beta 90.00
_cell_angle_gamma 90.00
loop_
_atom_site_label
_atom_site_type_symbol
_atom_site_fract_x
_atom_site_fract_y
_atom_site_fract_z
Nd1 Nd 0.000 0.000 0.000
Er1 Er 0.000 0.211 0.630
Mg1 Mg 0.500 0.000 0.662
Mg2 Mg 0.500 0.119 0.303
In1 In 0.500 0.170 0.919
Hg1 Hg 0.000 0.000 0.432



2.
# Nd2ErMg3In2Hg, relaxed, DFT PBE-GGA
# - Magnetic moment: 0.0 μB/cell
# - E_tot: -3.1482 eV per atom
data_Nd2ErMg3In2Hg
_chemical_formula_sum 'Nd4 Er2 Mg6 In4 Hg2'
_space_group_name_H-M_alt 'A m m 2'
_space_group_IT_number 38
_space_group_name_Hall 'A 2 -2'
_cell_length_a 4.686
_cell_length_b 13.065
_cell_length_c 7.685
_cell_angle_alpha 90.00
_cell_angle_beta 90.00
_cell_angle_gamma 90.00
loop_
_atom_site_label
_atom_site_type_symbol
_atom_site_fract_x
_atom_site_fract_y
_atom_site_fract_z
Nd1 Nd 0.000 0.209 0.000
Er1 Er 0.000 0.000 0.372
Mg1 Mg 0.500 0.000 0.025
Mg2 Mg 0.500 0.120 0.669
In1 In 0.500 0.163 0.291
Hg1 Hg 0.000 0.000 0.778